[1]
First-principles (PBE-GGA) data for Tb2Nd6Mg after structural relaxation, as listed in Alexandria.

Calculated values
The energy of formation from the pure elements is 0.020 eV/atom.

a b c (Å): 10.793 10.793 5.149
angles (deg): 90.00 90.00 90.00
Fractional positions:
Tb 0.168 0.168 0.000
Tb 0.332 0.668 0.500
Tb 0.668 0.332 0.500
Tb 0.832 0.832 0.000
Nd 0.001 0.332 0.500
Nd 0.163 0.837 0.000
Nd 0.168 0.501 0.000
Nd 0.332 0.001 0.500
Nd 0.337 0.337 0.500
Nd 0.499 0.832 0.000
Nd 0.501 0.168 0.000
Nd 0.663 0.663 0.500
Nd 0.668 0.999 0.500
Nd 0.832 0.499 0.000
Nd 0.837 0.163 0.000
Nd 0.999 0.668 0.500
Mg 0.000 0.000 0.500
Mg 0.500 0.500 0.000

---

[2]
First-principles (PBE-GGA) data for TlPtW2 after structural relaxation, as listed in Alexandria.

Calculated values
The energy of formation from the pure elements is 0.573 eV/atom.

a b c (Å): 9.642 9.642 9.642
angles (deg): 17.40 17.40 17.40
Fractional positions:
Tl 0.000 0.000 0.000
Pt 0.500 0.500 0.500
W 0.245 0.245 0.245
W 0.755 0.755 0.755

---

Q: The highest energy of formation from the pure elements belongs to which entry?
A: TlPtW2